A relaxed structure of Fe2HgSF, computed with PBEsol.

It has space group P4/mmm (No. 123), with a = 4.974 Å, b = 4.974 Å, c = 4.718 Å, α = 90.00°, β = 90.00° and γ = 90.00°. The asymmetric unit holds Fe at (0.000, 0.500, 0.000), Hg at (0.000, 0.000, 0.000), S at (0.000, 0.000, 0.500) and F at (0.500, 0.500, 0.500).

The calculation puts the energy at -18.737 eV for the cell shown.